This record from Alexandria via LeMat-Bulk describes YBePtO2 at its PBEsol-relaxed geometry. The functional is meta-GGA SCAN.

raw total energy: -23.23 eV per atom
formation energy without anion corrections: -1.32 eV/f.u.
crystal system: tetragonal

Cell: 3.9691 3.9691 6.8385 Å, 90.00 90.00 90.00°
Closest atoms and distances in Å follow each position.
Element x y z (fractional)
Y 0.0000 0.0000 0.0000  4 O 1.98
Be 0.0000 0.0000 0.5000  4 Pt 2.81
Pt 0.5000 0.5000 0.5000  4 Be 2.81
O 0.0000 0.5000 0.0000  2 Y 1.98
O 0.5000 0.0000 0.0000  2 Y 1.98